(1)
First-principles (PBE) data for crystalline Mg4Tl3 at its relaxed geometry, as listed in Alexandria via LeMat-Bulk.

Values from the calculation:
Formation enthalpy at 0 K ... 0.01 eV/atom
Total energy ... -1.912 eV per atom
Fermi-level density of states ... 0.721 states/eV per atom
Excess energy over the best structure of this formula in the dataset ... 1.76 kJ/mol of atoms

a = 7.7347 Å, b = 7.7347 Å, c = 7.7347 Å
α = 109.47°, β = 109.47°, γ = 109.47°
Fractional coordinates of all 14 atoms:
Mg: 0.3367 0.5000 0.0000
Mg: 0.5000 0.3367 0.5000
Mg: 0.0000 0.0000 0.3367
Mg: 0.6633 0.1633 0.1633
Mg: 0.0000 0.0000 0.8367
Mg: 0.1633 0.6633 0.6633
Mg: 0.8367 0.5000 0.0000
Mg: 0.5000 0.8367 0.5000
Tl: 0.1250 0.3750 0.2500
Tl: 0.6250 0.7500 0.8750
Tl: 0.8750 0.2500 0.6250
Tl: 0.2500 0.8750 0.1250
Tl: 0.7500 0.6250 0.3750
Tl: 0.3750 0.1250 0.7500

=====

(2)
First-principles (PBE) data for crystalline MgTl3 at its relaxed geometry, as listed in Alexandria via LeMat-Bulk.

Values from the calculation:
Formation enthalpy at 0 K ... 0.02 eV/atom
Total energy ... -2.152 eV per atom
Fermi-level density of states ... 0.305 states/eV per atom

a = 4.5937 Å, b = 7.0065 Å, c = 7.0065 Å
α = 96.00°, β = 90.00°, γ = 90.00°
Fractional coordinates of all 8 atoms:
Mg: 0.7500 0.3678 0.6322
Mg: 0.2500 0.6322 0.3678
Tl: 0.2500 0.1212 0.8788
Tl: 0.7500 0.8788 0.1212
Tl: 0.2500 0.6105 0.8592
Tl: 0.7500 0.3895 0.1408
Tl: 0.2500 0.1408 0.3895
Tl: 0.7500 0.8592 0.6105

=====

(3)
First-principles (PBE) data for crystalline Mg3Tl5 at its relaxed geometry, as listed in Alexandria via LeMat-Bulk.

Values from the calculation:
Formation enthalpy at 0 K ... 0.01 eV/atom
Total energy ... -2.066 eV per atom
Fermi-level density of states ... 0.422 states/eV per atom
Excess energy over the best structure of this formula in the dataset ... 1.74 kJ/mol of atoms

a = 6.5759 Å, b = 6.5759 Å, c = 5.1743 Å
α = 90.00°, β = 90.00°, γ = 107.53°
Fractional coordinates of all 8 atoms:
Mg: 0.5000 0.5000 0.0000
Mg: 0.7542 0.2458 0.5000
Mg: 0.2458 0.7542 0.5000
Tl: 0.0000 0.0000 0.0000
Tl: 0.0000 0.5000 0.0000
Tl: 0.5000 0.0000 0.0000
Tl: 0.2694 0.2694 0.5000
Tl: 0.7306 0.7306 0.5000

=====

(4)
First-principles (PBE) data for crystalline Mg3Tl5 at its relaxed geometry, as listed in Alexandria via LeMat-Bulk.

Values from the calculation:
Formation enthalpy at 0 K ... 0.01 eV/atom
Total energy ... -2.066 eV per atom
Fermi-level density of states ... 0.378 states/eV per atom
Excess energy over the best structure of this formula in the dataset ... 1.76 kJ/mol of atoms

a = 9.0092 Å, b = 9.0092 Å, c = 6.1631 Å
α = 90.00°, β = 90.00°, γ = 120.03°
Fractional coordinates of all 16 atoms:
Mg: 0.5921 0.0001 0.2500
Mg: 0.4079 0.9999 0.7500
Mg: 0.0001 0.5921 0.2500
Mg: 0.4080 0.4080 0.2500
Mg: 0.5921 0.5921 0.7500
Mg: 0.9999 0.4079 0.7500
Tl: 0.3334 0.6666 0.0000
Tl: 0.6666 0.3334 0.5000
Tl: 0.6666 0.3334 0.0000
Tl: 0.3334 0.6666 0.5000
Tl: 0.2281 0.0000 0.2500
Tl: 0.7719 0.0000 0.7500
Tl: 0.0000 0.2281 0.2500
Tl: 0.7720 0.7720 0.2500
Tl: 0.2280 0.2280 0.7500
Tl: 0.0000 0.7719 0.7500

=====

(5)
First-principles (PBE) data for crystalline Mg3Tl5 at its relaxed geometry, as listed in Alexandria via LeMat-Bulk.

Values from the calculation:
Formation enthalpy at 0 K ... -0.01 eV/atom
Total energy ... -2.084 eV per atom
Fermi-level density of states ... 0.426 states/eV per atom
Excess energy over the best structure of this formula in the dataset ... 0.00 kJ/mol of atoms

a = 3.5915 Å, b = 3.5915 Å, c = 16.4472 Å
α = 90.00°, β = 90.00°, γ = 90.00°
Fractional coordinates of all 8 atoms:
Mg: 0.5000 0.5000 0.1145
Mg: 0.5000 0.5000 0.8855
Mg: 0.0000 0.0000 0.5000
Tl: 0.0000 0.0000 0.2386
Tl: 0.5000 0.5000 0.6180
Tl: 0.5000 0.5000 0.3820
Tl: 0.0000 0.0000 0.7614
Tl: 0.0000 0.0000 0.0000

=====

(6)
First-principles (PBE) data for crystalline MgTl2 at its relaxed geometry, as listed in Alexandria via LeMat-Bulk.

Values from the calculation:
Formation enthalpy at 0 K ... -0.02 eV/atom
Total energy ... -2.125 eV per atom
Fermi-level density of states ... 0.393 states/eV per atom
Excess energy over the best structure of this formula in the dataset ... 0.00 kJ/mol of atoms

a = 9.7573 Å, b = 9.7573 Å, c = 9.7573 Å
α = 60.00°, β = 60.00°, γ = 60.00°
Fractional coordinates of all 24 atoms:
Mg: 0.1346 0.2885 0.2885
Mg: 0.7885 0.6346 0.2885
Mg: 0.7885 0.2885 0.6346
Mg: 0.7885 0.2885 0.2885
Mg: 0.8654 0.7115 0.7115
Mg: 0.2115 0.3654 0.7115
Mg: 0.2115 0.7115 0.3654
Mg: 0.2115 0.7115 0.7115
Tl: 0.0000 0.5000 0.5000
Tl: 0.0000 0.5000 0.0000
Tl: 0.0000 0.0000 0.5000
Tl: 0.5000 0.5000 0.5000
Tl: 0.1876 0.6876 0.0624
Tl: 0.1876 0.0624 0.6876
Tl: 0.1876 0.0624 0.0624
Tl: 0.5624 0.6876 0.6876
Tl: 0.5624 0.6876 0.0624
Tl: 0.5624 0.0624 0.6876
Tl: 0.8124 0.3124 0.9376
Tl: 0.8124 0.9376 0.3124
Tl: 0.8124 0.9376 0.9376
Tl: 0.4376 0.3124 0.3124
Tl: 0.4376 0.3124 0.9376
Tl: 0.4376 0.9376 0.3124

=====

(7)
First-principles (PBE) data for crystalline MgTl2 at its relaxed geometry, as listed in Alexandria via LeMat-Bulk.

Values from the calculation:
Formation enthalpy at 0 K ... 0.01 eV/atom
Total energy ... -2.095 eV per atom
Fermi-level density of states ... 0.388 states/eV per atom
Excess energy over the best structure of this formula in the dataset ... 2.95 kJ/mol of atoms

a = 14.6189 Å, b = 14.4150 Å, c = 14.4150 Å
α = 166.38°, β = 166.59°, γ = 19.09°
Fractional coordinates of all 6 atoms:
Mg: 0.2585 0.3744 0.8841
Mg: 0.7415 0.6256 0.1159
Tl: 0.7775 0.9492 0.8283
Tl: 0.2225 0.0508 0.1717
Tl: 0.7423 0.7963 0.9460
Tl: 0.2577 0.2037 0.0540

=====

(8)
First-principles (PBE) data for crystalline Mg7Tl5 at its relaxed geometry, as listed in Alexandria via LeMat-Bulk.

Values from the calculation:
Formation enthalpy at 0 K ... -0.01 eV/atom
Total energy ... -1.927 eV per atom
Fermi-level density of states ... 0.369 states/eV per atom
Excess energy over the best structure of this formula in the dataset ... 0.00 kJ/mol of atoms

a = 3.5174 Å, b = 8.2837 Å, c = 10.8746 Å
α = 76.92°, β = 80.69°, γ = 77.74°
Fractional coordinates of all 12 atoms:
Mg: 0.6402 0.9719 0.7477
Mg: 0.3598 0.0281 0.2523
Mg: 0.0328 0.6885 0.2459
Mg: 0.9672 0.3115 0.7541
Mg: 0.3352 0.3289 0.0008
Mg: 0.5000 0.5000 0.5000
Mg: 0.6648 0.6711 0.9992
Tl: 0.8413 0.8247 0.4927
Tl: 0.1587 0.1753 0.5073
Tl: 0.6988 0.3658 0.2366
Tl: 0.3012 0.6342 0.7634
Tl: 0.0000 0.0000 0.0000